Here is an optimized crystal structure of Zr2SbRu from the Alexandria database. Energies are from GGA-PBE.

The calculation puts the total energy at -7.919 eV per atom. The space group is P4mm (99). For the theoretical density, the calculation gives 7.6 g cm⁻³.

Unit cell a=3.850 b=3.850 c=5.992 alpha=90.00 beta=90.00 gamma=90.00
Fractional coordinates of all 4 atoms:
Zr1 0.000 0.000 0.000
Zr2 0.500 0.500 0.320
Sb1 0.500 0.500 0.806
Ru1 0.000 0.000 0.414

***

Here is an optimized crystal structure of ZrSb2Ru from the Alexandria database. Energies are from GGA-PBE.

The calculation puts the total energy at -6.439 eV per atom. The space group is I-42d (122). For the theoretical density, the calculation gives 8.0 g cm⁻³.

Unit cell a=10.061 b=10.061 c=10.061 alpha=155.12 beta=155.12 gamma=35.48
Fractional coordinates of all 8 atoms:
Zr1 0.000 0.000 0.000
Zr2 0.750 0.250 0.500
Sb1 0.148 0.625 0.023
Sb2 0.375 0.398 0.523
Sb3 0.602 0.125 0.977
Sb4 0.875 0.852 0.477
Ru1 0.250 0.750 0.500
Ru2 0.500 0.500 0.000

***

Number 1: formation energy without anion corrections -1.2 eV/f.u., M_tot 0.00 Bohr magnetons per cell. Number 2: formation energy without anion corrections 0.3 eV/f.u., M_tot 0.00 Bohr magnetons per cell.